Record 1
Material: HfV3Se
Method: DFT, PBE
State: optimized geometry

The structure in extended XYZ format:
```
5
Lattice="-0.9038 -4.3765 -0.4366 3.7352 -0.9991 2.2828 -2.3221 0.0963 3.8418" Properties=species:S:1:pos:R:3 pbc="T T T"
Se 0.0000 0.0000 0.0000
Hf 0.2546 -2.6397 2.8440
V 1.8676 -0.4996 1.1414
V -1.1611 0.0481 1.9209
V -0.4519 -2.1882 -0.2183
```

Raw formation energy (eV per atom): 0.40
Crystal system: cubic
DOS(E_F) (states/eV/f.u.): 6.206
Excess energy over the best structure of this formula in the dataset (meV/atom): 0

Record 2
Material: Hf2VSe6
Method: DFT, PBE
State: optimized geometry

The structure in extended XYZ format:
```
9
Lattice="-2.8860 2.2320 0.1141 -2.5075 -3.5936 6.8757 6.7315 5.6396 1.5560" Properties=species:S:1:pos:R:3 pbc="T T T"
Se -1.0743 1.3635 4.5446
Se 1.3340 1.3474 7.3885
Se 0.0039 2.9307 1.1572
Se 1.8863 5.0647 7.0268
Se -0.5483 -0.7866 1.5189
Se 2.4123 2.9147 4.0011
Hf 0.4333 3.2501 5.7726
Hf 0.9046 1.0280 2.7732
V -1.4430 1.1160 0.0570
```

Raw formation energy (eV per atom): -1.09
Crystal system: monoclinic
DOS(E_F) (states/eV/f.u.): 4.943

Record 3
Material: Hf3VSe8
Method: DFT, PBE
State: optimized geometry

The structure in extended XYZ format:
```
12
Lattice="7.3611 0.0000 0.0000 -3.6805 5.2338 -3.6415 0.0000 0.4813 8.2400" Properties=species:S:1:pos:R:3 pbc="T T T"
Se -1.9091 5.2874 -1.7747
Se 5.5896 0.4277 6.3732
Se 0.0000 3.0433 4.4809
Se 1.9091 5.2874 -1.7747
Se 3.6805 2.6718 0.1177
Se 3.6805 3.1427 4.4841
Se 1.7714 0.4277 6.3732
Se 0.0000 2.5723 0.1145
Hf 3.6805 0.0000 0.0000
Hf 1.8403 2.6169 -1.8207
Hf -1.8403 2.6169 -1.8207
V 0.0000 0.0000 0.0000
```

Raw formation energy (eV per atom): -1.15
Crystal system: monoclinic
DOS(E_F) (states/eV/f.u.): 4.086

Record 4
Material: Hf3VSe
Method: DFT, PBE
State: optimized geometry

The structure in extended XYZ format:
```
5
Lattice="4.8662 0.0000 0.0000 0.0000 4.8662 0.0000 0.0000 0.0000 4.8662" Properties=species:S:1:pos:R:3 pbc="T T T"
Se 2.4331 2.4331 2.4331
V 0.0000 0.0000 0.0000
Hf 0.0000 0.0000 2.4331
Hf 2.4331 0.0000 0.0000
Hf 0.0000 2.4331 0.0000
```

Raw formation energy (eV per atom): 0.64
Crystal system: cubic
DOS(E_F) (states/eV/f.u.): 7.379
Excess energy over the best structure of this formula in the dataset (meV/atom): 257

Record 5
Material: HfV3Se
Method: DFT, PBE
State: optimized geometry

The structure in extended XYZ format:
```
5
Lattice="4.6909 0.0000 0.0000 0.0000 4.6909 0.0000 0.0000 0.0000 4.6909" Properties=species:S:1:pos:R:3 pbc="T T T"
V 2.3454 0.0000 0.0000
V 0.0000 2.3454 0.0000
V 0.0000 0.0000 2.3454
Se 2.3454 2.3454 2.3454
Hf 0.0000 0.0000 0.0000
```

Raw formation energy (eV per atom): 1.65
Crystal system: cubic
DOS(E_F) (states/eV/f.u.): 9.271
Excess energy over the best structure of this formula in the dataset (meV/atom): 1251

Record 6
Material: HfWSe2
Method: DFT, PBE
State: optimized geometry

The structure in extended XYZ format:
```
4
Lattice="2.0722 -0.2388 4.0915 -1.6493 -2.7948 3.2497 2.3292 -3.7790 1.1772" Properties=species:S:1:pos:R:3 pbc="T T T"
Se 2.0641 -5.1095 6.3888
Se 0.6880 -1.7032 2.1296
Hf 0.0000 0.0000 0.0000
W 1.3760 -3.4063 4.2592
```

Raw formation energy (eV per atom): -0.11
Crystal system: cubic
DOS(E_F) (states/eV/f.u.): 6.252
Excess energy over the best structure of this formula in the dataset (meV/atom): 0

Record 7
Material: Hf3WSe
Method: DFT, PBE
State: optimized geometry

The structure in extended XYZ format:
```
5
Lattice="5.0751 0.0000 0.0000 0.0000 5.0751 0.0000 0.0000 0.0000 5.0751" Properties=species:S:1:pos:R:3 pbc="T T T"
Hf 2.5376 0.0000 0.0000
Hf 0.0000 2.5376 0.0000
Hf 0.0000 0.0000 2.5376
W 0.0000 0.0000 0.0000
Se 2.5376 2.5376 2.5376
```

Raw formation energy (eV per atom): 0.83
Crystal system: cubic
DOS(E_F) (states/eV/f.u.): 6.226

Record 8
Material: HfW3Se
Method: DFT, PBE
State: optimized geometry

The structure in extended XYZ format:
```
5
Lattice="-3.9142 2.6533 1.0558 -2.7958 -3.9254 -0.5002 0.5815 -1.0133 4.7022" Properties=species:S:1:pos:R:3 pbc="T T T"
W -1.3979 -1.9627 -0.2501
W 0.2907 -0.5067 2.3511
W -1.9571 1.3267 0.5279
Se -3.0643 -1.1427 2.6289
Hf 0.0000 0.0000 0.0000
```

Raw formation energy (eV per atom): 2.62
Crystal system: cubic
DOS(E_F) (states/eV/f.u.): 6.543
Excess energy over the best structure of this formula in the dataset (meV/atom): 1414

Record 9
Material: Hf2WSe
Method: DFT, PBE
State: optimized geometry

The structure in extended XYZ format:
```
4
Lattice="-2.4858 -0.5759 -1.7788 -2.6854 -0.8614 1.3121 -4.3344 8.6937 0.5230" Properties=species:S:1:pos:R:3 pbc="T T T"
Se -4.7528 3.6282 0.0281
Hf -5.9144 1.1738 -0.2736
Hf -3.5913 6.0827 0.3299
W 0.0000 0.0000 0.0000
```

Raw formation energy (eV per atom): 0.27
Crystal system: trigonal
DOS(E_F) (states/eV/f.u.): 1.193

Record 10
Material: HfWSe2
Method: DFT, PBE
State: optimized geometry

The structure in extended XYZ format:
```
4
Lattice="5.1545 -4.9953 5.6926 6.6675 -5.5578 2.9296 7.3490 -2.9278 4.6204" Properties=species:S:1:pos:R:3 pbc="T T T"
Hf 0.0000 0.0000 0.0000
W 9.5855 -6.7405 6.6213
Se 17.2509 -12.1308 11.9163
Se 1.9200 -1.3501 1.3262
```

Raw formation energy (eV per atom): -0.08
Crystal system: trigonal
DOS(E_F) (states/eV/f.u.): 2.668
Excess energy over the best structure of this formula in the dataset (meV/atom): 32

Record 11
Material: HfW4Se8
Method: DFT, PBE
State: optimized geometry

The structure in extended XYZ format:
```
13
Lattice="6.1062 0.0006 -3.2966 -3.9404 5.7119 0.0000 0.1680 0.1180 7.6244" Properties=species:S:1:pos:R:3 pbc="T T T"
Se 0.1439 4.3171 0.2662
Se 5.2395 1.4354 2.4080
Se 2.0782 1.4356 0.3313
Se -0.8644 1.4359 1.9203
Se -2.9057 4.3951 1.9197
Se 0.2556 4.3949 3.9964
Se 3.1982 4.3947 2.4074
Se 2.1899 1.5135 4.0615
W -1.8022 2.9740 7.6243
W 1.0829 2.8562 -1.6483
W -0.7192 5.8302 5.9760
W 0.0000 0.0000 0.0000
Hf -1.8862 2.9150 3.8122
```

Raw formation energy (eV per atom): -0.16
Crystal system: trigonal
DOS(E_F) (states/eV/f.u.): 8.011

Record 12
Material: HfW3Se
Method: DFT, PBE
State: optimized geometry

The structure in extended XYZ format:
```
5
Lattice="-2.7961 2.9752 2.1402 1.4296 -1.5933 4.0827 3.3747 3.1400 0.0438" Properties=species:S:1:pos:R:3 pbc="T T T"
W 0.7148 -0.7966 2.0413
W -1.3980 1.4876 1.0701
W 1.6874 1.5700 0.0219
Se 0.0000 0.0000 0.0000
Hf 1.0041 2.2610 3.1333
```

Raw formation energy (eV per atom): 1.21
Crystal system: cubic
DOS(E_F) (states/eV/f.u.): 9.856
Excess energy over the best structure of this formula in the dataset (meV/atom): 0

| no. | total magnetization (Bohr magnetons per cell) |
| --- | --- |
| 1 | 1.20 |
| 2 | 1.15 |
| 3 | 1.17 |
| 4 | 0.00 |
| 5 | 0.00 |
| 6 | 0.87 |
| 7 | 0.00 |
| 8 | 0.00 |
| 9 | 0.00 |
| 10 | 0.00 |
| 11 | 0.00 |
| 12 | 0.00 |